# VFe3Co | Alexandria via LeMat-Bulk | PBE | optimized geometry
data_VFe3Co
_symmetry_space_group_name_H-M 'C 1 2/c 1'
_symmetry_Int_Tables_number 15
_symmetry_space_group_name_Hall '-C 2yc'
_cell_length_a 11.268
_cell_length_b 9.440
_cell_length_c 4.615
_cell_angle_alpha 90.00
_cell_angle_beta 102.83
_cell_angle_gamma 90.00
loop_
_atom_site_label
_atom_site_fract_x
_atom_site_fract_y
_atom_site_fract_z
_atom_site_occupancy
V1 0.131 0.183 0.075 1
Fe1 0.085 0.080 0.535 1
Fe2 0.179 0.312 0.595 1
Fe3 0.205 0.440 0.117 1
Co1 0.000 0.337 0.750 1
Co2 0.000 0.418 0.250 1
# Formation energy from the elements ... 2.30 kcal/mol of atoms
# Density of states at the Fermi level ... 5.60 states/eV/f.u.
# Density ... 7.70 g cm⁻³
# Excess energy over the best structure of this formula in the dataset ... 179 meV per atom
# Total magnetic moment ... 53.01 μB/cell
# Final energy ... -8.223 eV per atom

***

# PrPaV | Alexandria via LeMat-Bulk | PBE | optimized geometry
data_PrPaV
_symmetry_space_group_name_H-M 'P 1 21/m 1'
_symmetry_Int_Tables_number 11
_symmetry_space_group_name_Hall '-P 2yb'
_cell_length_a 3.558
_cell_length_b 5.091
_cell_length_c 8.378
_cell_angle_alpha 90.00
_cell_angle_beta 99.34
_cell_angle_gamma 90.00
loop_
_atom_site_label
_atom_site_fract_x
_atom_site_fract_y
_atom_site_fract_z
_atom_site_occupancy
Pr1 0.218 0.250 0.418 1
Pa1 0.133 0.750 0.156 1
V1 0.432 0.750 0.924 1
# Formation energy from the elements ... 8.02 kcal/mol of atoms
# Density of states at the Fermi level ... 5.08 states/eV/f.u.
# Density ... 9.38 g cm⁻³
# Total magnetic moment ... 0.00 μB/cell
# Final energy ... -7.450 eV per atom

***

# Ga3B | Alexandria via LeMat-Bulk | PBE | optimized geometry
data_Ga3B
_symmetry_space_group_name_H-M 'P m -3 m'
_symmetry_Int_Tables_number 221
_symmetry_space_group_name_Hall '-P 4 2 3'
_cell_length_a 3.937
_cell_length_b 3.937
_cell_length_c 3.937
_cell_angle_alpha 90.00
_cell_angle_beta 90.00
_cell_angle_gamma 90.00
loop_
_atom_site_label
_atom_site_fract_x
_atom_site_fract_y
_atom_site_fract_z
_atom_site_occupancy
Ga1 0.000 0.000 0.500 1
B1 0.500 0.500 0.500 1
# Formation energy from the elements ... 16.83 kcal/mol of atoms
# Density of states at the Fermi level ... 1.50 states/eV/f.u.
# Density ... 5.99 g cm⁻³
# Excess energy over the best structure of this formula in the dataset ... 220 meV per atom
# Total magnetic moment ... 0.00 μB/cell
# Final energy ... -3.210 eV per atom

***

# AcPrNd3Dy | Alexandria via LeMat-Bulk | PBE | optimized geometry
data_AcPrNd3Dy
_symmetry_space_group_name_H-M 'C 1 2/m 1'
_symmetry_Int_Tables_number 12
_symmetry_space_group_name_Hall '-C 2y'
_cell_length_a 20.919
_cell_length_b 5.925
_cell_length_c 7.135
_cell_angle_alpha 90.00
_cell_angle_beta 91.10
_cell_angle_gamma 90.00
loop_
_atom_site_label
_atom_site_fract_x
_atom_site_fract_y
_atom_site_fract_z
_atom_site_occupancy
Ac1 0.148 0.000 0.043 1
Pr1 0.141 0.000 0.497 1
Nd1 0.018 0.000 0.749 1
Nd2 0.157 0.500 0.756 1
Nd3 0.219 0.500 0.279 1
Dy1 0.057 0.500 0.285 1
# Formation energy from the elements ... 4.93 kcal/mol of atoms
# Density of states at the Fermi level ... 8.87 states/eV/f.u.
# Density ... 7.24 g cm⁻³
# Total magnetic moment ... 0.00 μB/cell
# Final energy ... -4.418 eV per atom

***

# LiPr2Pd | Alexandria via LeMat-Bulk | PBE | optimized geometry
data_LiPr2Pd
_symmetry_space_group_name_H-M 'P 4/m m m'
_symmetry_Int_Tables_number 123
_symmetry_space_group_name_Hall '-P 4 2'
_cell_length_a 5.144
_cell_length_b 5.144
_cell_length_c 3.814
_cell_angle_alpha 90.00
_cell_angle_beta 90.00
_cell_angle_gamma 90.00
loop_
_atom_site_label
_atom_site_fract_x
_atom_site_fract_y
_atom_site_fract_z
_atom_site_occupancy
Li1 0.000 0.000 0.000 1
Pr1 0.000 0.500 0.500 1
Pd1 0.500 0.500 0.000 1
# Formation energy from the elements ... -6.95 kcal/mol of atoms
# Density of states at the Fermi level ... 4.09 states/eV/f.u.
# Density ... 6.50 g cm⁻³
# Total magnetic moment ... 0.00 μB/cell
# Final energy ... -4.468 eV per atom

***

# CrRu3 | Alexandria via LeMat-Bulk | PBE | optimized geometry
data_CrRu3
_symmetry_space_group_name_H-M 'P m m m'
_symmetry_Int_Tables_number 47
_symmetry_space_group_name_Hall '-P 2 2'
_cell_length_a 2.691
_cell_length_b 3.735
_cell_length_c 5.367
_cell_angle_alpha 90.00
_cell_angle_beta 90.00
_cell_angle_gamma 90.00
loop_
_atom_site_label
_atom_site_fract_x
_atom_site_fract_y
_atom_site_fract_z
_atom_site_occupancy
Cr1 0.000 0.000 0.000 1
Ru1 0.000 0.000 0.500 1
Ru2 0.500 0.500 0.241 1
# Formation energy from the elements ... 2.64 kcal/mol of atoms
# Density of states at the Fermi level ... 5.14 states/eV/f.u.
# Density ... 10.93 g cm⁻³
# Total magnetic moment ... 0.32 μB/cell
# Final energy ... -9.248 eV per atom

***

# PmNd4Ho2Er | Alexandria via LeMat-Bulk | PBE | optimized geometry
data_PmNd4Ho2Er
_symmetry_space_group_name_H-M 'P 1 2/m 1'
_symmetry_Int_Tables_number 10
_symmetry_space_group_name_Hall '-P 2y'
_cell_length_a 6.263
_cell_length_b 3.630
_cell_length_c 11.919
_cell_angle_alpha 90.00
_cell_angle_beta 100.21
_cell_angle_gamma 90.00
loop_
_atom_site_label
_atom_site_fract_x
_atom_site_fract_y
_atom_site_fract_z
_atom_site_occupancy
Pm1 0.000 0.000 0.000 1
Nd1 0.250 0.500 0.253 1
Nd2 0.251 0.000 0.749 1
Ho1 0.500 0.000 0.500 1
Ho2 0.500 0.500 0.000 1
Er1 0.000 0.500 0.500 1
# Formation energy from the elements ... 0.37 kcal/mol of atoms
# Density of states at the Fermi level ... 10.68 states/eV/f.u.
# Density ... 7.59 g cm⁻³
# Total magnetic moment ... 0.00 μB/cell
# Final energy ... -4.676 eV per atom

***

# CsK2TiCl8 | Alexandria via LeMat-Bulk | PBE | optimized geometry
data_CsK2TiCl8
_symmetry_space_group_name_H-M 'P -1'
_symmetry_Int_Tables_number 2
_symmetry_space_group_name_Hall '-P 1'
_cell_length_a 5.690
_cell_length_b 6.946
_cell_length_c 9.452
_cell_angle_alpha 89.88
_cell_angle_beta 72.85
_cell_angle_gamma 89.81
loop_
_atom_site_label
_atom_site_fract_x
_atom_site_fract_y
_atom_site_fract_z
_atom_site_occupancy
Cs1 0.000 0.000 0.000 1
K1 0.345 0.499 0.310 1
Ti1 0.000 0.000 0.500 1
Cl1 0.177 0.241 0.611 1
Cl2 0.179 0.758 0.610 1
Cl3 0.247 0.500 0.999 1
Cl4 0.341 0.001 0.283 1
# Density of states at the Fermi level ... 1.40 states/eV/f.u.
# Density ... 2.52 g cm⁻³
# E_form (uncorrected) ... -19.8 eV/f.u.
# Total magnetic moment ... 0.00 μB/cell
# Final energy ... -3.789 eV per atom

***

What did the third record say?
# Ga3B | Alexandria via LeMat-Bulk | PBE | optimized geometry
data_Ga3B
_symmetry_space_group_name_H-M 'P m -3 m'
_symmetry_Int_Tables_number 221
_symmetry_space_group_name_Hall '-P 4 2 3'
_cell_length_a 3.937
_cell_length_b 3.937
_cell_length_c 3.937
_cell_angle_alpha 90.00
_cell_angle_beta 90.00
_cell_angle_gamma 90.00
loop_
_atom_site_label
_atom_site_fract_x
_atom_site_fract_y
_atom_site_fract_z
_atom_site_occupancy
Ga1 0.000 0.000 0.500 1
B1 0.500 0.500 0.500 1
# Formation energy from the elements ... 16.83 kcal/mol of atoms
# Density of states at the Fermi level ... 1.50 states/eV/f.u.
# Density ... 5.99 g cm⁻³
# Excess energy over the best structure of this formula in the dataset ... 220 meV per atom
# Total magnetic moment ... 0.00 μB/cell
# Final energy ... -3.210 eV per atom

***

Question: density of states at the Fermi level of number 4 (AcPrNd3Dy)?
Answer: 8.87 states/eV/f.u.